Record 1
{
  "formula": "In2Ag2P",
  "functional": "PBE",
  "state": "relaxed",
  "lattice": [[8.422, 0.000, 0.000], [0.000, 8.422, 0.000], [0.000, 0.000, 2.997]],
  "species": ["In", "In", "In", "In", "Ag", "Ag", "Ag", "Ag", "P", "P"],
  "fractional_positions": [[0.185, 0.315, 0.000], [0.315, 0.815, 0.000], [0.685, 0.185, 0.000], [0.815, 0.685, 0.000], [0.115, 0.615, 0.500], [0.385, 0.115, 0.500], [0.615, 0.885, 0.500], [0.885, 0.385, 0.500], [0.000, 0.000, 0.000], [0.500, 0.500, 0.000]],
  "total_magnetization_mub_per_atom": 0.00,
  "total_energy_ev_per_cell": -30.262,
  "delta_e_f_kj_per_mol_atoms": 28
}

Record 2
{
  "formula": "Mg2BeB",
  "functional": "PBE",
  "state": "relaxed",
  "lattice": [[5.056, 0.000, 0.000], [0.000, 3.293, 0.000], [-1.608, 0.000, 7.160]],
  "species": ["Mg", "Mg", "Mg", "Mg", "Be", "Be", "B", "B"],
  "fractional_positions": [[0.000, 0.000, 0.000], [0.115, 0.500, 0.379], [0.453, 0.500, 0.859], [0.578, 0.000, 0.270], [0.031, 0.000, 0.640], [0.657, 0.500, 0.567], [0.387, 0.000, 0.593], [0.703, 0.000, 0.703]],
  "total_magnetization_mub_per_atom": 0.00,
  "total_energy_ev_per_cell": -26.076,
  "delta_e_f_kj_per_mol_atoms": 13
}

Record 3
{
  "formula": "Si2Te",
  "functional": "PBE",
  "state": "relaxed",
  "lattice": [[2.953, 0.000, 0.000], [0.000, 2.953, 0.000], [0.000, 0.000, 14.986]],
  "species": ["Si", "Si", "Si", "Si", "Te", "Te"],
  "fractional_positions": [[0.000, 0.000, 0.196], [0.000, 0.000, 0.804], [0.500, 0.500, 0.304], [0.500, 0.500, 0.696], [0.000, 0.000, 0.500], [0.500, 0.500, 0.000]],
  "total_magnetization_mub_per_atom": 0.00,
  "total_energy_ev_per_cell": -24.258
}

Record 4
{
  "formula": "KRe2Pb",
  "functional": "PBE",
  "state": "relaxed",
  "lattice": [[3.225, 0.000, 0.000], [0.000, 5.596, 0.000], [0.000, 0.000, 11.211]],
  "species": ["K", "K", "Re", "Re", "Re", "Re", "Pb", "Pb"],
  "fractional_positions": [[0.000, 0.000, 0.000], [0.500, 0.500, 0.500], [0.000, 0.000, 0.452], [0.000, 0.500, 0.802], [0.500, 0.000, 0.302], [0.500, 0.500, 0.952], [0.000, 0.500, 0.204], [0.500, 0.000, 0.704]],
  "total_magnetization_mub_per_atom": 0.00,
  "total_energy_ev_per_cell": -50.470,
  "delta_e_f_kj_per_mol_atoms": 108
}